## P
First-principles (PBE) data for crystalline Ho2Te2Se at its relaxed geometry, as listed in Alexandria.

abc: 8.5432 6.1913 12.4866
angles: 90.00 90.00 90.00
Element x y z (fractional)
Ho  0.0820  0.2500  0.2391
Ho  0.1546  0.2500  0.5772
Ho  0.3454  0.7500  0.0772
Ho  0.4180  0.7500  0.7391
Ho  0.5820  0.2500  0.2609
Ho  0.6546  0.2500  0.9228
Ho  0.8454  0.7500  0.4228
Ho  0.9180  0.7500  0.7609
Te  0.0698  0.7500  0.2252
Te  0.1490  0.7500  0.5689
Te  0.3510  0.2500  0.0689
Te  0.4302  0.2500  0.7252
Te  0.5698  0.7500  0.2748
Te  0.6490  0.7500  0.9311
Te  0.8510  0.2500  0.4311
Te  0.9302  0.2500  0.7748
Se  0.1825  0.7500  0.8928
Se  0.3175  0.2500  0.3928
Se  0.6825  0.7500  0.6072
Se  0.8175  0.2500  0.1072

Summary:
space-group type = No. 62
calculated volume = 33.02 Å³/atom

---

## Q
First-principles (PBE) data for crystalline Ho2Te2Se at its relaxed geometry, as listed in Alexandria.

abc: 7.4890 7.4890 7.8338
angles: 115.48 115.48 60.53
Element x y z (fractional)
Ho  0.1497  0.6742  0.9657
Ho  0.3258  0.8503  0.5343
Ho  0.6742  0.1497  0.4657
Ho  0.8503  0.3258  0.0343
Te  0.2451  0.4395  0.2589
Te  0.4395  0.2451  0.7589
Te  0.5605  0.7549  0.2411
Te  0.7549  0.5605  0.7411
Se  0.0478  0.9522  0.7500
Se  0.9522  0.0478  0.2500

Summary:
space-group type = No. 15
calculated volume = 33.17 Å³/atom

---

Calculated relative energies: P 68; Q 0, given in meV per atom

---

## P
First-principles (PBE) data for crystalline Ho2TeSe2 at its relaxed geometry, as listed in Alexandria.

abc: 5.4307 7.7488 8.1493
angles: 83.38 70.55 69.55
Element x y z (fractional)
Ho  0.0073  0.4855  0.2499
Ho  0.2420  0.0145  0.2496
Ho  0.7580  0.9855  0.7504
Ho  0.9927  0.5145  0.7501
Te  0.3750  0.7500  0.7507
Te  0.6250  0.2500  0.2493
Se  0.0293  0.7501  0.4416
Se  0.2792  0.2500  0.9409
Se  0.7208  0.7500  0.0591
Se  0.9707  0.2499  0.5584

Summary:
space-group type = No. 2
calculated volume = 30.30 Å³/atom

---

## Q
First-principles (PBE) data for crystalline Ho2TeSe2 at its relaxed geometry, as listed in Alexandria.

abc: 7.5757 7.5757 7.5757
angles: 147.67 136.23 55.45
Element x y z (fractional)
Ho  0.1655  0.1655  0.0000
Ho  0.8345  0.8345  0.0000
Te  0.0000  0.5000  0.5000
Se  0.3080  0.8080  0.5000
Se  0.6920  0.1920  0.5000

Summary:
space-group type = No. 71
calculated volume = 31.95 Å³/atom

---

Calculated relative energies: P 345; Q 0, given in meV per atom

---

## P
First-principles (PBE) data for crystalline Ho3TeSe2 at its relaxed geometry, as listed in Alexandria.

abc: 7.1914 7.1914 7.1914
angles: 146.38 131.77 60.07
Element x y z (fractional)
Ho  0.0000  0.0000  0.0000
Ho  0.3164  0.3164  0.0000
Ho  0.6836  0.6836  0.0000
Te  0.5000  0.0000  0.5000
Se  0.1614  0.6614  0.5000
Se  0.8386  0.3386  0.5000

Summary:
space-group type = No. 71
calculated volume = 25.36 Å³/atom

---

## Q
First-principles (PBE) data for crystalline Ho3TeSe2 at its relaxed geometry, as listed in Alexandria.

abc: 7.0123 4.0147 11.0889
angles: 90.00 102.13 90.00
Element x y z (fractional)
Ho  0.1175  0.2500  0.1518
Ho  0.2241  0.2500  0.4958
Ho  0.3531  0.2500  0.8531
Ho  0.6469  0.7500  0.1469
Ho  0.7759  0.7500  0.5042
Ho  0.8825  0.7500  0.8482
Te  0.4731  0.7500  0.6714
Te  0.5269  0.2500  0.3286
Se  0.0201  0.7500  0.3232
Se  0.2545  0.7500  0.0098
Se  0.7455  0.2500  0.9902
Se  0.9799  0.2500  0.6768

Summary:
space-group type = No. 11
calculated volume = 25.43 Å³/atom

---

Calculated relative energies: P 36; Q 0, given in meV per atom

---

## P
First-principles (PBE) data for crystalline Ho3ThSe4 at its relaxed geometry, as listed in Alexandria.

abc: 4.0198 4.0198 27.8114
angles: 90.00 90.00 120.00
Element x y z (fractional)
Ho  0.0000  0.0000  0.0000
Ho  0.0000  0.0000  0.5000
Ho  0.3333  0.6667  0.1214
Ho  0.3333  0.6667  0.3786
Ho  0.6667  0.3333  0.6214
Ho  0.6667  0.3333  0.8786
Th  0.3333  0.6667  0.7500
Th  0.6667  0.3333  0.2500
Se  0.0000  0.0000  0.1810
Se  0.0000  0.0000  0.3190
Se  0.0000  0.0000  0.6810
Se  0.0000  0.0000  0.8190
Se  0.3333  0.6667  0.5604
Se  0.3333  0.6667  0.9396
Se  0.6667  0.3333  0.0604
Se  0.6667  0.3333  0.4396

Summary:
space-group type = No. 194
calculated volume = 24.33 Å³/atom

---

## Q
First-principles (PBE) data for crystalline Ho3ThSe4 at its relaxed geometry, as listed in Alexandria.

abc: 7.1249 7.1249 4.0494
angles: 90.00 90.00 108.96
Element x y z (fractional)
Ho  0.0000  0.0000  0.0000
Ho  0.0000  0.5000  0.5000
Ho  0.5000  0.0000  0.5000
Th  0.5000  0.5000  0.0000
Se  0.2389  0.2389  0.5000
Se  0.2447  0.7553  0.0000
Se  0.7553  0.2447  0.0000
Se  0.7611  0.7611  0.5000

Summary:
space-group type = No. 65
calculated volume = 24.30 Å³/atom

---

Calculated relative energies: P 0; Q 7, given in meV per atom

---

## P
First-principles (PBE) data for crystalline HoThSe3 at its relaxed geometry, as listed in Alexandria.

abc: 7.7730 4.1378 15.7923
angles: 90.00 90.00 90.00
Element x y z (fractional)
Ho  0.2359  0.2500  0.0436
Ho  0.2641  0.7500  0.5436
Ho  0.7359  0.2500  0.4564
Ho  0.7641  0.7500  0.9564
Th  0.1241  0.7500  0.2950
Th  0.3759  0.2500  0.7950
Th  0.6241  0.7500  0.2050
Th  0.8759  0.2500  0.7050
Se  0.0089  0.7500  0.1062
Se  0.1234  0.2500  0.4354
Se  0.1558  0.7500  0.7205
Se  0.3442  0.2500  0.2205
Se  0.3766  0.7500  0.9354
Se  0.4911  0.2500  0.6062
Se  0.5089  0.7500  0.3938
Se  0.6234  0.2500  0.0646
Se  0.6558  0.7500  0.7795
Se  0.8442  0.2500  0.2795
Se  0.8766  0.7500  0.5646
Se  0.9911  0.2500  0.8938

Summary:
space-group type = No. 62
calculated volume = 25.40 Å³/atom

---

## Q
First-principles (PBE) data for crystalline HoThSe3 at its relaxed geometry, as listed in Alexandria.

abc: 10.7455 10.7455 7.2722
angles: 90.00 90.00 157.44
Element x y z (fractional)
Ho  0.1639  0.8361  0.5000
Ho  0.8361  0.1639  0.0000
Th  0.3394  0.6606  0.4973
Th  0.6606  0.3394  0.9973
Se  0.0909  0.9091  0.1760
Se  0.2508  0.7492  0.8316
Se  0.4050  0.5950  0.1557
Se  0.5950  0.4050  0.6557
Se  0.7492  0.2508  0.3316
Se  0.9091  0.0909  0.6760

Summary:
space-group type = No. 36
calculated volume = 32.21 Å³/atom

---

Calculated relative energies: P 0; Q 117, given in meV per atom

---

## P
First-principles (PBE) data for crystalline Ho2ThSe at its relaxed geometry, as listed in Alexandria.

abc: 3.5967 3.5967 8.4273
angles: 90.00 90.00 90.00
Element x y z (fractional)
Ho  0.0000  0.0000  0.2113
Ho  0.0000  0.0000  0.7887
Th  0.5000  0.5000  0.5000
Se  0.5000  0.5000  0.0000

Summary:
space-group type = No. 123
calculated volume = 27.25 Å³/atom

---

## Q
First-principles (PBE) data for crystalline Ho2ThSe at its relaxed geometry, as listed in Alexandria.

abc: 9.7164 9.7164 9.7164
angles: 22.03 22.03 22.03
Element x y z (fractional)
Ho  0.2341  0.2341  0.2341
Ho  0.7659  0.7659  0.7659
Th  0.0000  0.0000  0.0000
Se  0.5000  0.5000  0.5000

Summary:
space-group type = No. 166
calculated volume = 28.30 Å³/atom

---

Calculated relative energies: P 110; Q 0, given in meV per atom

---

## P
First-principles (PBE) data for crystalline Ho3TlSe at its relaxed geometry, as listed in Alexandria.

abc: 9.1113 3.9810 15.0525
angles: 90.00 90.00 90.00
Element x y z (fractional)
Ho  0.0363  0.2500  0.1148
Ho  0.1605  0.2500  0.5210
Ho  0.2097  0.7500  0.2767
Ho  0.2903  0.2500  0.7767
Ho  0.3395  0.7500  0.0210
Ho  0.4637  0.7500  0.6148
Ho  0.5363  0.2500  0.3852
Ho  0.6605  0.2500  0.9790
Ho  0.7097  0.7500  0.2233
Ho  0.7903  0.2500  0.7233
Ho  0.8395  0.7500  0.4790
Ho  0.9637  0.7500  0.8852
Tl  0.0580  0.7500  0.6747
Tl  0.4420  0.2500  0.1747
Tl  0.5580  0.7500  0.8253
Tl  0.9420  0.2500  0.3253
Se  0.1636  0.2500  0.9441
Se  0.3364  0.7500  0.4441
Se  0.6636  0.2500  0.5559
Se  0.8364  0.7500  0.0559

Summary:
space-group type = No. 62
calculated volume = 27.30 Å³/atom

---

## Q
First-principles (PBE) data for crystalline Ho3TlSe at its relaxed geometry, as listed in Alexandria.

abc: 9.1930 6.6158 10.2402
angles: 90.00 113.67 90.00
Element x y z (fractional)
Ho  0.0631  0.0895  0.3346
Ho  0.0631  0.4105  0.8346
Ho  0.2118  0.5814  0.5381
Ho  0.2118  0.9186  0.0381
Ho  0.3884  0.1364  0.8056
Ho  0.3884  0.3636  0.3056
Ho  0.6116  0.6364  0.6944
Ho  0.6116  0.8636  0.1945
Ho  0.7882  0.0814  0.9619
Ho  0.7882  0.4186  0.4619
Ho  0.9369  0.5895  0.1654
Ho  0.9369  0.9105  0.6654
Tl  0.3824  0.6654  0.8744
Tl  0.3824  0.8346  0.3744
Tl  0.6176  0.1654  0.6256
Tl  0.6176  0.3346  0.1256
Se  0.0861  0.2323  0.5965
Se  0.0861  0.2677  0.0965
Se  0.9139  0.7323  0.9035
Se  0.9139  0.7677  0.4035

Summary:
space-group type = No. 14
calculated volume = 28.52 Å³/atom

---

Calculated relative energies: P 0; Q 133, given in meV per atom

---

## P
First-principles (PBE) data for crystalline HoTm3Se4 at its relaxed geometry, as listed in Alexandria.

abc: 6.9923 8.0122 6.9750
angles: 90.00 109.18 90.00
Element x y z (fractional)
Ho  0.0000  0.1240  0.2500
Ho  0.0000  0.8760  0.7500
Tm  0.0000  0.3738  0.7500
Tm  0.0000  0.6262  0.2500
Tm  0.5000  0.1242  0.7500
Tm  0.5000  0.3740  0.2500
Tm  0.5000  0.6260  0.7500
Tm  0.5000  0.8758  0.2500
Se  0.2511  0.3765  0.5014
Se  0.2511  0.6235  0.0014
Se  0.2529  0.1264  0.0000
Se  0.2529  0.8736  0.5000
Se  0.7471  0.1264  0.5000
Se  0.7471  0.8736  0.0000
Se  0.7489  0.3765  0.9986
Se  0.7489  0.6235  0.4986

Summary:
space-group type = No. 13
calculated volume = 23.07 Å³/atom

---

## Q
First-principles (PBE) data for crystalline HoTm3Se4 at its relaxed geometry, as listed in Alexandria.

abc: 5.6947 5.6947 5.6947
angles: 90.00 90.00 90.00
Element x y z (fractional)
Ho  0.0000  0.0000  0.0000
Tm  0.0000  0.5000  0.5000
Tm  0.5000  0.0000  0.5000
Tm  0.5000  0.5000  0.0000
Se  0.0000  0.0000  0.5000
Se  0.0000  0.5000  0.0000
Se  0.5000  0.0000  0.0000
Se  0.5000  0.5000  0.5000

Summary:
space-group type = No. 221
calculated volume = 23.08 Å³/atom

---

Calculated relative energies: P 0; Q 14, given in meV per atom

---

## P
First-principles (PBE) data for crystalline HoTmSe3 at its relaxed geometry, as listed in Alexandria.

abc: 7.9917 4.0074 8.1209
angles: 90.00 95.11 90.00
Element x y z (fractional)
Ho  0.1163  0.2500  0.2704
Ho  0.8837  0.7500  0.7296
Tm  0.3553  0.7500  0.8204
Tm  0.6447  0.2500  0.1796
Se  0.1214  0.2500  0.8894
Se  0.1816  0.7500  0.5190
Se  0.3935  0.7500  0.1792
Se  0.6065  0.2500  0.8208
Se  0.8184  0.2500  0.4810
Se  0.8786  0.7500  0.1106

Summary:
space-group type = No. 11
calculated volume = 25.90 Å³/atom

---

## Q
First-principles (PBE) data for crystalline HoTmSe3 at its relaxed geometry, as listed in Alexandria.

abc: 7.6472 7.6472 7.6472
angles: 55.59 55.59 55.59
Element x y z (fractional)
Ho  0.1522  0.1522  0.1522
Ho  0.8478  0.8478  0.8478
Tm  0.3468  0.3468  0.3468
Tm  0.6532  0.6532  0.6532
Se  0.0569  0.7471  0.4446
Se  0.2529  0.5554  0.9431
Se  0.4446  0.0569  0.7471
Se  0.5554  0.9431  0.2529
Se  0.7471  0.4446  0.0569
Se  0.9431  0.2529  0.5554

Summary:
space-group type = No. 148
calculated volume = 28.39 Å³/atom

---

Calculated relative energies: P 22; Q 0, given in meV per atom

---

## P
First-principles (PBE) data for crystalline Ho2TmSe at its relaxed geometry, as listed in Alexandria.

abc: 3.5777 3.5777 8.4043
angles: 90.00 90.00 90.00
Element x y z (fractional)
Ho  0.0000  0.0000  0.2107
Ho  0.0000  0.0000  0.7893
Tm  0.5000  0.5000  0.5000
Se  0.5000  0.5000  0.0000

Summary:
space-group type = No. 123
calculated volume = 26.89 Å³/atom

---

## Q
First-principles (PBE) data for crystalline Ho2TmSe at its relaxed geometry, as listed in Alexandria.

abc: 9.5554 9.5554 9.5554
angles: 22.70 22.70 22.70
Element x y z (fractional)
Ho  0.0000  0.0000  0.0000
Ho  0.2000  0.2000  0.2000
Tm  0.4327  0.4327  0.4327
Se  0.5998  0.5998  0.5998

Summary:
space-group type = No. 160
calculated volume = 28.51 Å³/atom

---

## R
First-principles (PBE) data for crystalline Ho2TmSe at its relaxed geometry, as listed in Alexandria.

abc: 10.4818 10.4818 10.4818
angles: 20.20 20.20 20.20
Element x y z (fractional)
Ho  0.1077  0.1077  0.1077
Ho  0.8923  0.8923  0.8923
Tm  0.0000  0.0000  0.0000
Se  0.5000  0.5000  0.5000

Summary:
space-group type = No. 166
calculated volume = 30.03 Å³/atom

---

Calculated relative energies: P 123; Q 0; R 289, given in meV per atom